Run one
CsDyB4 | OQMD via LeMat-Bulk | PBE | optimized geometry; crystal system = hexagonal; space-group type = P6/mmm, No. 191
1.0
-0.854 -0.305 3.153
-0.546 -2.466 -2.094
8.464 -3.532 1.951
B Cs Dy
4 1 1
direct
0.333 0.667 0.200 B
0.333 0.667 0.800 B
0.667 0.333 0.200 B
0.667 0.333 0.800 B
0.000 0.000 0.500 Cs
0.000 0.000 0.000 Dy

Run two
CsDyB4 | OQMD via LeMat-Bulk | PBE | optimized geometry; crystal system = orthorhombic; space-group type = Immm, No. 71
1.0
-1.601 2.760 4.751
1.601 -2.760 4.751
1.601 2.760 -4.751
B Dy Cs
4 1 1
direct
0.092 0.756 0.336 B
0.908 0.244 0.664 B
0.579 0.244 0.336 B
0.421 0.756 0.664 B
0.500 0.500 0.000 Dy
0.000 0.000 0.000 Cs

Which structure loses on stability? run two does.

Run one
CsGdB4 | OQMD via LeMat-Bulk | PBE | optimized geometry; crystal system = orthorhombic; space-group type = Immm, No. 71
1.0
3.420 -4.092 -2.179
4.546 -1.127 3.355
-5.727 -0.060 -0.616
Gd Cs B
1 1 4
direct
0.500 0.500 0.000 Gd
0.000 0.000 0.000 Cs
0.423 0.756 0.667 B
0.911 0.244 0.667 B
0.089 0.756 0.333 B
0.577 0.244 0.333 B

Run two
CsGdB4 | OQMD via LeMat-Bulk | PBE | optimized geometry; crystal system = hexagonal; space-group type = P6/mmm, No. 191
1.0
-1.346 -1.200 2.752
3.132 1.008 0.005
-2.800 8.691 2.421
Gd B Cs
1 4 1
direct
0.000 0.000 0.500 Gd
0.333 0.667 0.297 B
0.333 0.667 0.703 B
0.667 0.333 0.297 B
0.667 0.333 0.703 B
0.000 0.000 0.000 Cs

Which structure loses on stability? run one does.

Run one
CsNpB | OQMD via LeMat-Bulk | PBE | optimized geometry; crystal system = cubic; space-group type = F-43m, No. 216
1.0
1.817 -3.971 -1.942
-1.035 -4.269 1.881
-2.848 -3.025 -2.362
Cs Np B
1 1 1
direct
0.000 0.000 0.000 Cs
0.750 0.750 0.750 Np
0.250 0.250 0.250 B

Run two
CsNpB | OQMD via LeMat-Bulk | PBE | optimized geometry; crystal system = cubic; space-group type = F-43m, No. 216
1.0
0.000 3.377 3.377
3.377 0.000 3.377
3.377 3.377 0.000
Cs B Np
1 1 1
direct
0.250 0.250 0.250 Cs
0.000 0.000 0.000 B
0.750 0.750 0.750 Np

Which structure loses on stability? run one does.

Run one
CsB4Os | OQMD via LeMat-Bulk | PBE | optimized geometry; crystal system = hexagonal; space-group type = P6/mmm, No. 191
1.0
3.134 0.000 0.000
-1.567 2.714 0.000
0.000 0.000 8.724
Cs B Os
1 4 1
direct
0.000 0.000 0.500 Cs
0.333 0.667 0.180 B
0.667 0.333 0.820 B
0.333 0.667 0.820 B
0.667 0.333 0.180 B
0.000 0.000 0.000 Os

Run two
CsB4Os | OQMD via LeMat-Bulk | PBE | optimized geometry; crystal system = orthorhombic; space-group type = Immm, No. 71
1.0
-1.418 3.094 4.188
1.418 -3.094 4.188
1.418 3.094 -4.188
B Os Cs
4 1 1
direct
0.844 0.205 0.639 B
0.156 0.795 0.361 B
0.566 0.205 0.361 B
0.434 0.795 0.639 B
0.500 0.500 0.000 Os
0.000 0.000 0.000 Cs

Which structure loses on stability? run two does.

Run one
CsPrB4 | OQMD via LeMat-Bulk | PBE | optimized geometry; crystal system = orthorhombic; space-group type = Immm, No. 71
1.0
-1.615 2.770 4.938
1.615 -2.770 4.938
1.615 2.770 -4.938
Cs B Pr
1 4 1
direct
0.000 0.000 0.000 Cs
0.579 0.246 0.333 B
0.421 0.754 0.667 B
0.913 0.246 0.667 B
0.087 0.754 0.333 B
0.500 0.500 0.000 Pr

Run two
CsPrB4 | OQMD via LeMat-Bulk | PBE | optimized geometry; crystal system = hexagonal; space-group type = P6/mmm, No. 191
1.0
3.315 0.000 0.000
-1.657 2.871 0.000
0.000 0.000 9.707
Pr Cs B
1 1 4
direct
0.000 0.000 0.500 Pr
0.000 0.000 0.000 Cs
0.667 0.333 0.289 B
0.333 0.667 0.711 B
0.667 0.333 0.711 B
0.333 0.667 0.289 B

Which structure loses on stability? run one does.

Run one
CsB4Pt | OQMD via LeMat-Bulk | PBE | optimized geometry; crystal system = orthorhombic; space-group type = Immm, No. 71
1.0
-1.423 2.914 4.815
1.423 -2.914 4.815
1.423 2.914 -4.815
Pt B Cs
1 4 1
direct
0.500 0.500 0.000 Pt
0.125 0.769 0.355 B
0.586 0.231 0.355 B
0.414 0.769 0.645 B
0.875 0.231 0.645 B
0.000 0.000 0.000 Cs

Run two
CsB4Pt | OQMD via LeMat-Bulk | PBE | optimized geometry; crystal system = hexagonal; space-group type = P6/mmm, No. 191
1.0
-0.609 -1.830 -2.547
2.845 1.421 0.302
3.027 -6.969 4.283
Pt B Cs
1 4 1
direct
0.000 0.000 0.000 Pt
0.333 0.667 0.183 B
0.667 0.333 0.183 B
0.333 0.667 0.817 B
0.667 0.333 0.817 B
0.000 0.000 0.500 Cs

Which structure loses on stability? run one does.

Run one
CsReB | OQMD via LeMat-Bulk | PBE | optimized geometry; crystal system = cubic; space-group type = F-43m, No. 216
1.0
2.988 0.589 3.089
0.407 3.872 1.914
-1.223 0.518 4.130
Re Cs B
1 1 1
direct
0.750 0.750 0.750 Re
0.250 0.250 0.250 Cs
0.000 0.000 0.000 B

Run two
CsReB | OQMD via LeMat-Bulk | PBE | optimized geometry; crystal system = cubic; space-group type = F-43m, No. 216
1.0
0.000 3.097 3.097
3.097 0.000 3.097
3.097 3.097 0.000
Re Cs B
1 1 1
direct
0.000 0.000 0.000 Re
0.750 0.750 0.750 Cs
0.250 0.250 0.250 B

Which structure loses on stability? run one does.

Run one
CsReB4 | OQMD via LeMat-Bulk | PBE | optimized geometry; crystal system = orthorhombic; space-group type = Immm, No. 71
1.0
4.411 2.955 0.792
-2.083 4.828 1.081
0.859 -5.083 1.498
Cs Re B
1 1 4
direct
0.000 0.000 0.000 Cs
0.500 0.500 0.000 Re
0.569 0.210 0.360 B
0.150 0.790 0.360 B
0.850 0.210 0.640 B
0.431 0.790 0.640 B

Run two
CsReB4 | OQMD via LeMat-Bulk | PBE | optimized geometry; crystal system = hexagonal; space-group type = P6/mmm, No. 191
1.0
3.086 0.000 0.000
-1.543 2.672 0.000
0.000 0.000 8.851
B Re Cs
4 1 1
direct
0.333 0.667 0.185 B
0.667 0.333 0.185 B
0.667 0.333 0.815 B
0.333 0.667 0.815 B
0.000 0.000 0.000 Re
0.000 0.000 0.500 Cs

Which structure loses on stability? run one does.